## i
# Tm4PbS2

A relaxed structure of Tm4PbS2 (PBE-GGA, Alexandria via LeMat-Bulk).

## Properties
- calculated volume (A^3/atom) = 24.38
- density of states at the Fermi level (states/eV per cell) = 3.908

extended XYZ file:
```
7
Lattice="3.748 0.000 0.000 1.874 3.246 0.000 1.874 1.082 14.027" Properties=species:S:1:pos:R:3 pbc="T T T"
Tm 5.623 3.246 5.616
Tm 1.874 1.082 2.409
S 3.748 2.164 3.953
S 3.748 2.164 10.074
Pb 0.000 0.000 0.000
Tm 5.623 3.246 11.618
Tm 1.874 1.082 8.411
```

---

## ii
# Tm4PbS2

A relaxed structure of Tm4PbS2 (PBE-GGA, Alexandria via LeMat-Bulk).

## Properties
- calculated volume (A^3/atom) = 24.05
- density of states at the Fermi level (states/eV per cell) = 10.104

extended XYZ file:
```
14
Lattice="3.937 0.000 0.000 -1.969 6.493 0.000 0.000 0.000 13.173" Properties=species:S:1:pos:R:3 pbc="T T T"
Pb 0.000 5.126 3.293
Tm 1.969 5.512 9.880
Tm 1.969 3.398 1.536
Tm 0.000 0.981 3.293
S 0.000 1.729 0.740
Tm 0.000 3.096 8.123
Tm 0.000 3.096 11.637
Pb 1.969 1.367 9.880
Tm 1.969 0.000 0.000
S 1.969 4.764 7.326
Tm 1.969 3.398 5.051
Tm 1.969 0.000 6.587
S 0.000 1.729 5.847
S 1.969 4.764 12.434
```

---

Question: of the structures shown, which is the most stable? Reply: ii.